(1)
VASP calculation (PBE-GGA) on a relaxed structure of Mg17Zn11Ir.

Output
Energy of formation: -3.247 eV/f.u.

abc: 10.178 14.093 8.794
angles: 90.00 120.59 90.00
Space group Cm (No. 8)
One atom of each set of equivalent atoms:
Mg 0.000 0.000 0.000
Mg 0.010 0.305 0.308
Mg 0.014 0.000 0.640
Mg 0.057 0.377 0.013
Mg 0.135 0.500 0.348
Mg 0.221 0.204 0.672
Mg 0.318 0.000 0.304
Mg 0.329 0.325 0.001
Mg 0.336 0.000 0.719
Mg 0.350 0.327 0.425
Mg 0.497 0.136 0.630
Zn 0.017 0.193 0.816
Zn 0.097 0.095 0.369
Zn 0.175 0.189 0.170
Zn 0.271 0.094 0.983
Zn 0.273 0.407 0.674
Zn 0.334 0.500 0.206
Ir 0.178 0.500 0.868

=====

(2)
VASP calculation (PBE-GGA) on a relaxed structure of Re2NiBr.

Output
ΔE to the lowest computed polymorph: 647.1 meV per atom
ΔE_f (raw): 1.120 eV/atom

abc: 6.111 6.111 6.111
angles: 90.00 90.00 90.00
Space group Fm-3m (No. 225)
One atom of each set of equivalent atoms:
Re 0.250 0.250 0.250
Ni 0.000 0.000 0.000
Br 0.000 0.000 0.500

=====

(3)
VASP calculation (PBE-GGA) on a relaxed structure of BaNa2SiTe4.

Output
ΔE_f (raw): -0.601 eV/atom

abc: 7.821 10.599 12.898
angles: 90.00 90.00 90.00
Space group Imma (No. 74)
One atom of each set of equivalent atoms:
Ba 0.000 0.000 0.000
Na 0.000 0.000 0.500
Na 0.250 0.250 0.250
Si 0.250 0.250 0.750
Te 0.000 0.063 0.740
Te 0.227 0.250 0.499

=====

(4)
VASP calculation (PBE-GGA) on a relaxed structure of NaRu2S.

Output
ΔE_f (raw): 0.291 eV/atom

abc: 7.158 7.158 5.328
angles: 90.00 90.00 90.00
Space group I-42d (No. 122)
One atom of each set of equivalent atoms:
Na 0.000 0.000 0.000
Ru 0.150 0.250 0.625
S 0.000 0.000 0.500

=====

no.,spin magnetization (μB per formula unit),calculated volume (Å³/cell)
1,0.000,1086
2,0.000,228
3,0.000,1069
4,0.000,273